[1]
Below is crystalline Sm14PuTh at its relaxed geometry, with properties calculated at the PBE-GGA level.

Geometry as POSCAR:
```
Sm14PuTh
1.0
7.2403 -0.9504 0.0000
-2.8252 6.7337 0.0000
0.0000 0.0000 11.6670
Sm Pu Th
14 1 1
Cartesian
1.9349 0.8066 5.8335
2.4632 4.9893 8.7994
0.2514 2.0921 8.7994
-1.1224 5.4338 8.7549
5.5570 0.3347 5.8335
0.5247 4.1764 5.8335
2.4632 4.9893 2.8676
1.9285 0.8016 0.0000
3.9042 1.5964 8.7660
3.9042 1.5964 2.9011
4.1501 3.7118 0.0000
0.2514 2.0921 2.8676
-1.1224 5.4338 2.9122
4.1470 3.7043 5.8335
5.5601 0.3323 0.0000
0.5252 4.1759 0.0000
```

mass density	8.0	g/cm³
total moment	0.407	μB/atom
DFT formation energy	63.3	meV/atom
energy	-5.425	eV/atom

[2]
Below is crystalline SmPuTh at its relaxed geometry, with properties calculated at the PBE-GGA level.

Geometry as POSCAR:
```
SmPuTh
1.0
3.5415 0.0000 0.0000
0.0000 3.5415 0.0000
-1.7707 -1.7707 7.3270
Pu Sm Th
1 1 1
Cartesian
1.7707 1.7707 7.2168
1.7707 1.7707 2.4581
0.0000 0.0000 4.9792
```

mass density	11.3	g/cm³
total moment	1.916	μB/atom
DFT formation energy	122.8	meV/atom
energy	-8.701	eV/atom
energy above the lowest structure with this stoichiometry	0.000	eV per atom

[3]
Below is crystalline SmPuTi at its relaxed geometry, with properties calculated at the PBE-GGA level.

Geometry as POSCAR:
```
SmPuTi
1.0
3.2497 0.0000 0.0000
0.0000 3.2497 0.0000
-1.6249 -1.6249 14.2340
Ti Pu Sm
2 2 2
Cartesian
0.0000 0.0000 7.9829
1.6249 1.6249 6.2511
1.6249 1.6249 9.9462
0.0000 0.0000 4.2878
1.6249 1.6249 1.7496
0.0000 0.0000 12.4844
```

mass density	9.8	g/cm³
total moment	1.825	μB/atom
DFT formation energy	246.4	meV/atom
energy	-8.736	eV/atom

[4]
Below is crystalline SmPuTl at its relaxed geometry, with properties calculated at the PBE-GGA level.

Geometry as POSCAR:
```
SmPuTl
1.0
3.7030 0.0000 0.0000
0.0000 3.7030 0.0000
-1.8515 -1.8515 6.4477
Sm Pu Tl
1 1 1
Cartesian
1.8515 1.8515 1.6125
1.8515 1.8515 5.6907
0.0000 0.0000 3.6579
```

mass density	11.2	g/cm³
total moment	2.189	μB/atom
DFT formation energy	-26.7	meV/atom
energy	-7.166	eV/atom
energy above the lowest structure with this stoichiometry	0.000	eV per atom

[5]
Below is crystalline SmPuTl6 at its relaxed geometry, with properties calculated at the PBE-GGA level.

Geometry as POSCAR:
```
SmPuTl6
1.0
-3.0191 3.4517 -1.3746
-3.0593 -3.3146 -1.6038
-4.2367 -0.2672 8.6342
Tl Sm Pu
6 1 1
Cartesian
-3.0392 0.0685 -1.4892
-2.5623 1.6594 1.4582
-4.6935 1.5250 5.8014
-2.5825 -1.7237 1.3436
-4.7136 -1.8581 5.6868
-5.1576 -0.0651 2.8279
-2.1184 -0.1336 4.3171
0.0000 0.0000 0.0000
```

mass density	12.2	g/cm³
total moment	0.704	μB/atom
DFT formation energy	-161.2	meV/atom
energy	-4.317	eV/atom

[6]
Below is crystalline Sm12PuTl3 at its relaxed geometry, with properties calculated at the PBE-GGA level.

Geometry as POSCAR:
```
Sm12PuTl3
1.0
-1.8991 4.4750 -0.8719
-3.2632 -0.6745 3.6453
12.9723 8.0583 13.1036
Sm Tl Pu
12 3 1
Cartesian
7.1283 7.9317 11.1944
3.2446 2.6918 6.7482
9.6963 6.6996 13.2652
0.6949 3.2590 1.2251
10.3784 9.2743 11.0066
3.9266 5.2665 4.4895
0.6818 3.9271 4.6826
3.9050 5.9294 7.9385
7.1466 7.2668 7.7421
6.4646 4.6920 10.0008
-2.5811 1.9002 1.3867
0.0128 0.6842 3.4837
6.4862 4.0292 6.5518
9.6717 6.0080 9.7696
3.3006 2.0503 3.3340
0.0000 0.0000 0.0000
```

mass density	9.0	g/cm³
total moment	0.375	μB/atom
DFT formation energy	-115.3	meV/atom
energy	-4.994	eV/atom